Tb3Dy7Tm2: optimized geometry, GGA-PBE.

Calculated values
Energy relative to the elements: 300 meV per atom

abc: 11.6676 11.6676 11.6676
angles: 32.11 32.11 32.11
Positions (direct):
Tb 0.0000 0.0000 0.0000
Tb 0.1529 0.1529 0.1529
Tb 0.8471 0.8471 0.8471
Dy 0.0814 0.5858 0.5858
Dy 0.4142 0.4142 0.9186
Dy 0.4142 0.9186 0.4142
Dy 0.5000 0.5000 0.5000
Dy 0.5858 0.0814 0.5858
Dy 0.5858 0.5858 0.0814
Dy 0.9186 0.4142 0.4142
Tm 0.3335 0.3335 0.3335
Tm 0.6665 0.6665 0.6665


Tb4Dy10Tm: optimized geometry, GGA-PBE.

Calculated values
Energy relative to the elements: 730 meV per atom

abc: 9.3709 9.3709 9.3709
angles: 99.59 99.59 131.82
Positions (direct):
Tb 0.1007 0.2989 0.3996
Tb 0.2989 0.8993 0.1982
Tb 0.7011 0.1007 0.8018
Tb 0.8993 0.7011 0.6004
Dy 0.0511 0.1520 0.7011
Dy 0.1520 0.4509 0.1009
Dy 0.2500 0.7500 0.5000
Dy 0.3500 0.0511 0.8991
Dy 0.4509 0.3500 0.2989
Dy 0.5491 0.6500 0.7011
Dy 0.6500 0.9489 0.1009
Dy 0.7500 0.2500 0.5000
Dy 0.8480 0.5491 0.8991
Dy 0.9489 0.8480 0.2989
Tm 0.5000 0.5000 0.0000


Tb4Dy6Tm19: optimized geometry, GGA-PBE.

Calculated values
Energy relative to the elements: 393 meV per atom

abc: 10.6480 10.6480 10.6480
angles: 109.47 109.47 109.47
Positions (direct):
Tb 0.0000 0.0000 0.3576
Tb 0.0000 0.3576 0.0000
Tb 0.3576 0.0000 0.0000
Tb 0.6424 0.6424 0.6424
Dy 0.1286 0.5000 0.6286
Dy 0.3714 0.8714 0.5000
Dy 0.5000 0.3714 0.8714
Dy 0.5000 0.6286 0.1286
Dy 0.6286 0.1286 0.5000
Dy 0.8714 0.5000 0.3714
Tm 0.0000 0.0000 0.0000
Tm 0.0000 0.2612 0.2612
Tm 0.0000 0.7388 0.7388
Tm 0.0150 0.2123 0.6753
Tm 0.1974 0.9850 0.6603
Tm 0.2123 0.6753 0.0150
Tm 0.2612 0.0000 0.2612
Tm 0.2612 0.2612 0.0000
Tm 0.3247 0.5371 0.3397
Tm 0.3397 0.3247 0.5371
Tm 0.4629 0.7877 0.8026
Tm 0.5371 0.3397 0.3247
Tm 0.6603 0.1974 0.9850
Tm 0.6753 0.0150 0.2123
Tm 0.7388 0.0000 0.7388
Tm 0.7388 0.7388 0.0000
Tm 0.7877 0.8026 0.4629
Tm 0.8026 0.4629 0.7877
Tm 0.9850 0.6603 0.1974


Tb2Dy2Tm5: optimized geometry, GGA-PBE.

Calculated values
Energy relative to the elements: 22 meV per atom
Offset from the most stable computed form: 0.0000 eV/atom

abc: 3.5023 7.8593 10.5153
angles: 77.16 89.99 77.19
Positions (direct):
Tb 0.1663 0.1669 0.3887
Tb 0.8337 0.8331 0.6113
Dy 0.5003 0.4989 0.8336
Dy 0.4997 0.5011 0.1664
Tm 0.1665 0.1658 0.0551
Tm 0.1676 0.1663 0.7231
Tm 0.5000 0.5000 0.5000
Tm 0.8324 0.8337 0.2769
Tm 0.8335 0.8342 0.9449


- Which value of energy relative to the elements does entry 2 give?
  730 meV per atom


- What is the energy relative to the elements in the third record?
  393 meV per atom


- Which of these has the lowest energy relative to the elements?
  Tb2Dy2Tm5